A geometry-optimized Th2Be3AgPt4 structure. Source: Alexandria via LeMat-Bulk, functional PBE-GGA.

Summary:
Fermi-level density of states (states/eV per atom): 0.501
DFT formation energy (meV/atom): -781
SG: P-4m2 (115)

Lattice parameters (Å, degrees): 4.0040 4.0040 10.8776 90.00 90.00 90.00
Last column: nearest neighbours and their distance in Å.
Sites, in units of the cell vectors:
Th 0.0000 0.5000 0.2383  8 Pt 2.99-3.28, 4 Be 3.15
Th 0.5000 0.0000 0.7617  8 Pt 2.99-3.28, 4 Be 3.15
Be 0.0000 0.5000 0.8885  5 Pt 2.34-2.35
Be 0.5000 0.0000 0.1115  5 Pt 2.34-2.35
Be 0.5000 0.5000 0.5000  4 Pt 2.74, 4 Ag 2.83
Ag 0.0000 0.0000 0.5000  4 Pt 2.74, 4 Be 2.83
Pt 0.0000 0.0000 0.0000  4 Be 2.34
Pt 0.0000 0.5000 0.6725  1 Be 2.35
Pt 0.5000 0.0000 0.3275  1 Be 2.35
Pt 0.5000 0.5000 0.0000  4 Be 2.34